Material: Ba2ClF
Method: DFT, SCAN
State: PBEsol geometry

a b c (Å): 6.7564 6.7564 8.0831
angles (deg): 114.70 114.70 90.00
With the nearest neighbours (Å) after each atom.
Fractional positions:
Ba 0.8314 0.3750 0.2500  2 F 2.73
Ba 0.6250 0.5814 0.7500  2 F 2.73
Ba 0.1250 0.1686 0.7500  2 F 2.73
Ba 0.4186 0.8750 0.2500  2 F 2.73
Cl 0.2500 0.7500 0.5000  4 Ba 3.07
Cl 0.0000 0.0000 0.0000  4 Ba 3.07
F 0.5000 0.5000 0.0000  4 Ba 2.73
F 0.7500 0.2500 0.5000  4 Ba 2.73

## Properties
VASP energy   -25.016 eV per atom
Space-group type   I-42d, No. 122

---

Material: Ba2ClF3
Method: DFT, SCAN
State: PBEsol geometry

a b c (Å): 4.4256 4.4256 7.2047
angles (deg): 90.00 90.00 120.00
With the nearest neighbours (Å) after each atom.
Fractional positions:
F 0.3333 0.6667 0.1704  4 Ba 2.57-2.69, 3 F 2.83
F 0.0000 0.0000 0.0000  6 F 2.83, 6 Ba 2.94
F 0.6667 0.3333 0.8296  4 Ba 2.57-2.69, 3 F 2.83
Cl 0.0000 0.0000 0.5000  6 Ba 3.33, 8 F 3.49-3.60
Ba 0.3333 0.6667 0.7968  4 F 2.57-2.69
Ba 0.6667 0.3333 0.2032  4 F 2.57-2.69

## Properties
VASP energy   -20.065 eV per atom
Space-group type   P-3m1, No. 164

---

Material: Ba7Cl2F12
Method: DFT, SCAN
State: PBEsol geometry

a b c (Å): 4.1428 10.6043 10.6043
angles (deg): 120.00 90.00 90.00
With the nearest neighbours (Å) after each atom.
Fractional positions:
F 0.5000 0.5691 0.4517  5 Ba 2.70-2.96
F 0.5000 0.0533 0.7706  4 Ba 2.62-2.73
F 0.0000 0.6047 0.7020  4 Ba 2.63-2.69, 1 F 2.92
F 0.5000 0.8826 0.4309  5 Ba 2.70-2.96
F 0.0000 0.8231 0.6105  4 Ba 2.55-2.61
F 0.5000 0.5483 0.1174  5 Ba 2.70-2.96
F 0.5000 0.2294 0.2827  4 Ba 2.62-2.73
F 0.0000 0.7873 0.1769  4 Ba 2.55-2.61
F 0.0000 0.2980 0.9027  4 Ba 2.63-2.69, 1 F 2.92
F 0.0000 0.3895 0.2127  4 Ba 2.55-2.61
F 0.5000 0.7173 0.9467  4 Ba 2.62-2.73
F 0.0000 0.0973 0.3953  4 Ba 2.63-2.69, 1 F 2.92
Ba 0.0000 0.5555 0.9223  5 F 2.59-2.64
Ba 0.0000 0.3667 0.4445  5 F 2.59-2.64
Ba 0.5000 0.9547 0.2200  7 F 2.61-2.73
Ba 0.5000 0.7800 0.7346  7 F 2.61-2.73
Ba 0.0000 0.6667 0.3333  3 F 2.55
Ba 0.5000 0.2654 0.0453  7 F 2.61-2.73
Ba 0.0000 0.0777 0.6333  5 F 2.59-2.64
Cl 0.5000 0.3333 0.6667  6 Ba 3.29, 9 F 3.41-3.65
Cl 0.0000 0.0000 0.0000  6 Ba 3.33, 9 F 3.45-3.58

## Properties
VASP energy   -19.910 eV per atom
Space-group type   P-6, No. 174

---

Material: BaRu2ClF
Method: DFT, SCAN
State: PBEsol geometry

a b c (Å): 4.1296 4.1296 5.9090
angles (deg): 90.00 90.00 90.00
With the nearest neighbours (Å) after each atom.
Fractional positions:
F 0.0000 0.0000 0.0000  4 Ru 2.06
Ru 0.0000 0.5000 0.0000  2 F 2.06
Ru 0.5000 0.0000 0.0000  2 F 2.06
Ba 0.5000 0.5000 0.5000  4 Cl 2.92
Cl 0.0000 0.0000 0.5000  4 Ba 2.92, 2 F 2.95

## Properties
VASP energy   -24.365 eV per atom
Space-group type   P4/mmm, No. 123

---

Material: Ba3Fe2Cl2O5
Method: DFT, SCAN
State: PBEsol geometry

a b c (Å): 8.6475 8.6475 8.6475
angles (deg): 109.47 109.47 109.47
With the nearest neighbours (Å) after each atom.
Fractional positions:
O 0.8903 0.6403 0.2500  2 Fe 1.88
O 0.7500 0.8903 0.1403  2 Fe 1.88
O 0.6097 0.8597 0.7500  2 Fe 1.88
O 0.2500 0.6097 0.3597  2 Fe 1.88
O 0.8597 0.2500 0.1097  2 Fe 1.88
O 0.0000 0.5000 0.5237  1 Fe 1.82
O 0.5000 0.0237 0.5000  1 Fe 1.82
O 0.0237 0.0000 0.0000  1 Fe 1.82
O 0.4763 0.4763 0.9763  1 Fe 1.82
O 0.6403 0.7500 0.3903  2 Fe 1.88
Ba 0.5971 0.2500 0.8471  3 O 2.62
Ba 0.9029 0.7500 0.6529  3 O 2.62
Ba 0.2500 0.3471 0.0971  3 O 2.62
Ba 0.1529 0.9029 0.2500  3 O 2.62
Ba 0.3471 0.5971 0.7500  3 O 2.62
Ba 0.7500 0.1529 0.4029  3 O 2.62
Cl 0.0000 0.5000 0.8858  1 O 3.13, 3 Ba 3.26
Cl 0.3858 0.0000 0.0000  1 O 3.13, 3 Ba 3.26
Cl 0.5000 0.3858 0.5000  1 O 3.13, 3 Ba 3.26
Cl 0.1142 0.1142 0.6142  1 O 3.13, 3 Ba 3.26
Fe 0.6868 0.6868 0.1868  4 O 1.82-1.88
Fe 0.0000 0.5000 0.3132  4 O 1.82-1.88
Fe 0.8132 0.0000 0.0000  4 O 1.82-1.88
Fe 0.5000 0.8132 0.5000  4 O 1.82-1.88

## Properties
VASP energy   -19.296 eV per atom
Space-group type   I2_13, No. 199

---

Material: BaGaCl2
Method: DFT, SCAN
State: PBEsol geometry

a b c (Å): 4.6899 4.6899 9.0686
angles (deg): 75.01 75.01 60.00
With the nearest neighbours (Å) after each atom.
Fractional positions:
Ga 0.0000 0.0000 0.0000  2 Cl 2.98
Cl 0.1146 0.1146 0.6562  1 Ga 2.98, 3 Ba 3.03
Cl 0.8854 0.8854 0.3438  1 Ga 2.98, 3 Ba 3.03
Ba 0.5000 0.5000 0.5000  6 Cl 3.03

## Properties
E above lowest polymorph   0.000 eV/atom
Space-group type   R-3m, No. 166

---

Material: BaGaCl2
Method: DFT, SCAN
State: PBEsol geometry

a b c (Å): 5.2831 5.2831 5.2831
angles (deg): 60.00 60.00 60.00
With the nearest neighbours (Å) after each atom.
Fractional positions:
Cl 0.7500 0.7500 0.7500  4 Ba 3.24, 4 Ga 3.24
Cl 0.2500 0.2500 0.2500  4 Ga 3.24, 4 Ba 3.24
Ga 0.0000 0.0000 0.0000  8 Cl 3.24
Ba 0.5000 0.5000 0.5000  8 Cl 3.24

## Properties
E above lowest polymorph   0.012 eV/atom
Space-group type   Fm-3m, No. 225

---

Material: BaGa3Cl
Method: DFT, SCAN
State: PBEsol geometry

a b c (Å): 5.2471 5.2471 5.2471
angles (deg): 90.00 90.00 90.00
With the nearest neighbours (Å) after each atom.
Fractional positions:
Ga 0.0000 0.0000 0.5000  2 Cl 2.62
Ga 0.0000 0.5000 0.0000  2 Cl 2.62
Ga 0.5000 0.0000 0.0000  2 Cl 2.62
Ba 0.5000 0.5000 0.5000  12 Ga 3.71
Cl 0.0000 0.0000 0.0000  6 Ga 2.62

## Properties
VASP energy   -19.374 eV per atom
Space-group type   Pm-3m, No. 221

---

Material: KBa2GaCl
Method: DFT, SCAN
State: PBEsol geometry

a b c (Å): 5.1465 6.7232 6.7232
angles (deg): 90.00 90.00 90.00
With the nearest neighbours (Å) after each atom.
Fractional positions:
K 0.0000 0.0000 0.0000  2 Cl 2.57
Ga 0.5000 0.5000 0.5000  8 Ba 4.23
Ba 0.0000 0.0000 0.5000  2 K 3.36
Ba 0.0000 0.5000 0.0000  2 K 3.36
Cl 0.5000 0.0000 0.0000  2 K 2.57

## Properties
VASP energy   -22.427 eV per atom
Space-group type   P4/mmm, No. 123

---

Material: Ba2NaGaCl
Method: DFT, SCAN
State: PBEsol geometry

a b c (Å): 5.4072 6.3217 6.3217
angles (deg): 90.00 90.00 90.00
With the nearest neighbours (Å) after each atom.
Fractional positions:
Ba 0.0000 0.5000 0.0000  2 Ga 3.16
Ba 0.0000 0.0000 0.5000  2 Ga 3.16
Na 0.5000 0.0000 0.0000  2 Ga 2.70
Cl 0.5000 0.5000 0.5000  8 Ba 4.16, 4 Na 4.47
Ga 0.0000 0.0000 0.0000  2 Na 2.70

## Properties
VASP energy   -22.115 eV per atom
Space-group type   P4/mmm, No. 123

---

Material: BaNbGaCl2
Method: DFT, SCAN
State: PBEsol geometry

a b c (Å): 4.9109 4.9109 5.1499
angles (deg): 90.00 90.00 90.00
With the nearest neighbours (Å) after each atom.
Fractional positions:
Ga 0.0000 0.0000 0.5000  2 Nb 2.57
Nb 0.0000 0.0000 0.0000  4 Cl 2.46, 2 Ga 2.57
Cl 0.5000 0.0000 0.0000  2 Nb 2.46
Cl 0.0000 0.5000 0.0000  2 Nb 2.46
Ba 0.5000 0.5000 0.5000  4 Ga 3.47, 8 Cl 3.56

## Properties
VASP energy   -21.822 eV per atom
Space-group type   P4/mmm, No. 123

---

Material: BaGaPCl2
Method: DFT, SCAN
State: PBEsol geometry

a b c (Å): 4.7398 5.0486 5.0486
angles (deg): 90.00 90.00 90.00
With the nearest neighbours (Å) after each atom.
Fractional positions:
Cl 0.0000 0.0000 0.5000  2 Ga 2.52
Cl 0.0000 0.5000 0.0000  2 Ga 2.52
P 0.5000 0.0000 0.0000  2 Ga 2.37
Ga 0.0000 0.0000 0.0000  2 P 2.37, 4 Cl 2.52
Ba 0.5000 0.5000 0.5000  8 Cl 3.46, 4 P 3.57

## Properties
VASP energy   -17.626 eV per atom
Space-group type   P4/mmm, No. 123

---

Material: RbBa3Ga5Se10Cl2
Method: DFT, SCAN
State: PBEsol geometry

a b c (Å): 8.6044 8.6691 9.8089
angles (deg): 63.96 64.92 89.99
With the nearest neighbours (Å) after each atom.
Fractional positions:
Ba 0.8811 0.4923 0.7733  2 Cl 3.06-3.10, 2 Se 3.33-3.42
Ba 0.2490 0.1269 0.2306  2 Cl 3.06-3.16, 2 Se 3.32-3.42
Ba 0.3626 0.7660 0.7703  2 Cl 3.06-3.13, 2 Se 3.31-3.40
Se 0.5543 0.0428 0.8603  2 Ga 2.39
Se 0.1325 0.8072 0.1544  2 Ga 2.40-2.41
Se 0.7122 0.0666 0.1282  2 Ga 2.39-2.41
Se 0.6540 0.5501 0.5302  2 Ga 2.39-2.40
Se 0.0668 0.3389 0.4986  2 Ga 2.40-2.42
Se 0.8306 0.9237 0.5125  2 Ga 2.42
Se 0.9577 0.8547 0.8512  2 Ga 2.40
Se 0.1927 0.2825 0.8544  2 Ga 2.40-2.43
Se 0.4524 0.1794 0.4672  2 Ga 2.40-2.42
Se 0.9603 0.4228 0.1386  2 Ga 2.40
Ga 0.8525 0.0636 0.6717  4 Se 2.39-2.42
Ga 0.9926 0.9984 0.0004  4 Se 2.40-2.43
Ga 0.7445 0.1484 0.3194  4 Se 2.39-2.42
Ga 0.9285 0.5243 0.3384  4 Se 2.40-2.42
Ga 0.4731 0.2633 0.6649  4 Se 2.39-2.42
Cl 0.4999 0.4923 0.9916  3 Ba 3.06, 1 Rb 3.21
Cl 0.2433 0.7581 0.5129  3 Ba 3.10-3.16, 1 Rb 3.28
Rb 0.5093 0.6478 0.2310  2 Cl 3.21-3.28, 3 Se 3.43-3.59

## Properties
VASP energy   -22.278 eV per atom
Space-group type   P1, No. 1

---

Material: Ba3GaS4Cl
Method: DFT, SCAN
State: PBEsol geometry

a b c (Å): 8.3704 9.5340 12.2065
angles (deg): 90.00 90.00 90.00
With the nearest neighbours (Å) after each atom.
Fractional positions:
S 0.0385 0.7500 0.4938  1 Ga 2.26
S 0.3611 0.2500 0.2887  1 Ga 2.26
S 0.4615 0.7500 0.9938  1 Ga 2.26
S 0.8116 0.9535 0.9271  1 Ga 2.23
S 0.6389 0.7500 0.7113  1 Ga 2.26
S 0.8611 0.7500 0.2113  1 Ga 2.26
S 0.3116 0.0465 0.5729  1 Ga 2.23
S 0.6884 0.5465 0.4271  1 Ga 2.23
S 0.1884 0.0465 0.0729  1 Ga 2.23
S 0.1389 0.2500 0.7887  1 Ga 2.26
S 0.8116 0.5465 0.9271  1 Ga 2.23
S 0.9615 0.2500 0.5062  1 Ga 2.26
S 0.3116 0.4535 0.5729  1 Ga 2.23
S 0.6884 0.9535 0.4271  1 Ga 2.23
S 0.1884 0.4535 0.0729  1 Ga 2.23
S 0.5385 0.2500 0.0062  1 Ga 2.26
Cl 0.8322 0.2500 0.2315  5 Ba 3.12-3.40
Cl 0.3322 0.7500 0.2685  5 Ba 3.12-3.40
Cl 0.6678 0.2500 0.7315  5 Ba 3.12-3.40
Cl 0.1678 0.7500 0.7685  5 Ba 3.12-3.40
Ba 0.9173 0.9805 0.6678  7 S 3.22-3.55, 2 Cl 3.28-3.40, 1 Ga 3.51
Ba 0.5827 0.5195 0.1678  7 S 3.22-3.55, 2 Cl 3.28-3.40, 1 Ga 3.51
Ba 0.4153 0.7500 0.5176  6 S 3.02-3.20, 1 Cl 3.12
Ba 0.0827 0.0195 0.3322  7 S 3.22-3.55, 2 Cl 3.28-3.40, 1 Ga 3.51
Ba 0.4173 0.0195 0.8322  7 S 3.22-3.55, 2 Cl 3.28-3.40, 1 Ga 3.51
Ba 0.0827 0.4805 0.3322  7 S 3.22-3.55, 2 Cl 3.28-3.40, 1 Ga 3.51
Ba 0.4173 0.4805 0.8322  7 S 3.22-3.55, 2 Cl 3.28-3.40, 1 Ga 3.51
Ba 0.9173 0.5195 0.6678  7 S 3.22-3.55, 2 Cl 3.28-3.40, 1 Ga 3.51
Ba 0.0847 0.7500 0.0176  6 S 3.02-3.20, 1 Cl 3.12
Ba 0.5847 0.2500 0.4824  6 S 3.02-3.20, 1 Cl 3.12
Ba 0.9153 0.2500 0.9824  6 S 3.02-3.20, 1 Cl 3.12
Ba 0.5827 0.9805 0.1678  7 S 3.22-3.55, 2 Cl 3.28-3.40, 1 Ga 3.51
Ga 0.8111 0.7500 0.3935  4 S 2.23-2.26
Ga 0.1889 0.2500 0.6065  4 S 2.23-2.26
Ga 0.6889 0.7500 0.8935  4 S 2.23-2.26
Ga 0.3111 0.2500 0.1065  4 S 2.23-2.26

## Properties
VASP energy   -22.272 eV per atom
Space-group type   Pnma, No. 62

---

Material: BaGdCl5
Method: DFT, SCAN
State: PBEsol geometry

a b c (Å): 5.4566 6.7636 9.9478
angles (deg): 89.16 74.08 86.95
With the nearest neighbours (Å) after each atom.
Fractional positions:
Cl 0.1966 0.0028 0.6224  1 Gd 2.74
Cl 0.1809 0.4972 0.6224  1 Gd 2.74
Cl 0.6273 0.7500 0.7454  2 Gd 2.89
Cl 0.7231 0.5973 0.0649  2 Gd 2.72-2.77
Cl 0.2769 0.4027 0.9351  2 Gd 2.72-2.77
Cl 0.3727 0.2500 0.2546  2 Gd 2.89
Cl 0.7880 0.0973 0.9351  2 Gd 2.72-2.77
Cl 0.2120 0.9027 0.0649  2 Gd 2.72-2.77
Cl 0.8034 0.9972 0.3776  1 Gd 2.74
Cl 0.8191 0.5028 0.3776  1 Gd 2.74
Ba 0.6722 0.2500 0.6557  10 Cl 3.16-3.49
Ba 0.3278 0.7500 0.3443  10 Cl 3.16-3.49
Gd 0.0771 0.7500 0.8458  8 Cl 2.72-2.89
Gd 0.9229 0.2500 0.1542  8 Cl 2.72-2.89

## Properties
VASP energy   -22.408 eV per atom
Space-group type   C2/c, No. 15

---

Material: BaGeN2Cl
Method: DFT, SCAN
State: PBEsol geometry

a b c (Å): 4.3624 4.3624 5.4616
angles (deg): 90.00 90.00 90.00
With the nearest neighbours (Å) after each atom.
Fractional positions:
Ge 0.5000 0.5000 0.5000  4 Ba 3.08
N 0.5000 0.0000 0.0000  2 Cl 2.18
N 0.0000 0.5000 0.0000  2 Cl 2.18
Cl 0.0000 0.0000 0.0000  4 N 2.18
Ba 0.0000 0.0000 0.5000  2 Cl 2.73

## Properties
VASP energy   -15.337 eV per atom
Space-group type   P4/mmm, No. 123

---

Material: BaGeRu2Cl
Method: DFT, SCAN
State: PBEsol geometry

a b c (Å): 5.0344 5.0344 5.8790
angles (deg): 90.00 90.00 90.00
With the nearest neighbours (Å) after each atom.
Fractional positions:
Ru 0.5000 0.0000 0.0000  2 Ba 2.52
Ru 0.0000 0.5000 0.0000  2 Ba 2.52
Ba 0.0000 0.0000 0.0000  4 Ru 2.52
Ge 0.0000 0.0000 0.5000  2 Ba 2.94
Cl 0.5000 0.5000 0.5000  4 Ge 3.56, 8 Ru 3.87

## Properties
VASP energy   -25.098 eV per atom
Space-group type   P4/mmm, No. 123

---

Material: BaH2Cl2O
Method: DFT, SCAN
State: PBEsol geometry

a b c (Å): 4.4664 9.1542 10.7078
angles (deg): 90.00 90.00 90.00
With the nearest neighbours (Å) after each atom.
Fractional positions:
Cl 0.2500 0.1238 0.1046  3 H 3.06-3.15, 4 Ba 3.16-3.35, 1 O 3.24
Cl 0.2500 0.8238 0.6207  1 H 2.06
Cl 0.7500 0.1762 0.3793  1 H 2.06
Cl 0.7500 0.6238 0.3954  3 H 3.06-3.15, 4 Ba 3.16-3.35, 1 O 3.24
Cl 0.2500 0.3762 0.6046  3 H 3.06-3.15, 4 Ba 3.16-3.35, 1 O 3.24
Cl 0.7500 0.3238 0.8793  1 H 2.06
Cl 0.7500 0.8762 0.8954  3 H 3.06-3.15, 4 Ba 3.16-3.35, 1 O 3.24
Cl 0.2500 0.6762 0.1207  1 H 2.06
H 0.7500 0.1372 0.5689  1 O 1.00
H 0.7500 0.3628 0.0689  1 O 1.00
H 0.7500 0.5206 0.1239  1 O 0.98
H 0.7500 0.9794 0.6239  1 O 0.98
H 0.2500 0.0206 0.3761  1 O 0.98
H 0.2500 0.8628 0.4311  1 O 1.00
H 0.2500 0.4794 0.8761  1 O 0.98
H 0.2500 0.6372 0.9311  1 O 1.00
O 0.7500 0.0824 0.6497  2 H 0.98-1.00
O 0.2500 0.9176 0.3503  2 H 0.98-1.00
O 0.2500 0.5824 0.8503  2 H 0.98-1.00
O 0.7500 0.4176 0.1497  2 H 0.98-1.00
Ba 0.7500 0.9025 0.1934  2 O 2.80
Ba 0.2500 0.0975 0.8066  2 O 2.80
Ba 0.7500 0.5975 0.6934  2 O 2.80
Ba 0.2500 0.4025 0.3066  2 O 2.80

## Properties
VASP energy   -13.396 eV per atom
Space-group type   Pnma, No. 62

---

Material: BaH5ClO3
Method: DFT, SCAN
State: PBEsol geometry

a b c (Å): 4.4802 4.4802 11.4965
angles (deg): 90.00 90.00 90.00
With the nearest neighbours (Å) after each atom.
Fractional positions:
Cl 0.5000 0.0000 0.9047  5 Ba 3.15-3.31, 4 O 3.41, 4 H 3.48
Cl 0.0000 0.5000 0.0953  5 Ba 3.15-3.31, 4 O 3.41, 4 H 3.48
H 0.8154 0.0000 0.6286  1 O 1.02
H 0.1846 0.0000 0.6286  1 O 1.02
H 0.0000 0.8154 0.3714  1 O 1.02
H 0.0000 0.5000 0.5148  1 O 0.97
H 0.5000 0.0000 0.4852  1 O 0.97
H 0.3154 0.5000 0.3714  1 O 1.02
H 0.6846 0.5000 0.3714  1 O 1.02
H 0.5000 0.6846 0.6286  1 O 1.02
H 0.0000 0.1846 0.3714  1 O 1.02
H 0.5000 0.3154 0.6286  1 O 1.02
Ba 0.5000 0.0000 0.1784  4 O 2.76
Ba 0.0000 0.5000 0.8216  4 O 2.76
O 0.0000 0.0000 0.6810  2 H 1.02
O 0.5000 0.0000 0.5700  1 H 0.97
O 0.5000 0.5000 0.3190  2 H 1.02
O 0.0000 0.5000 0.4300  1 H 0.97
O 0.5000 0.5000 0.6810  2 H 1.02
O 0.0000 0.0000 0.3190  2 H 1.02

## Properties
VASP energy   -9.930 eV per atom
Space-group type   P4/nmm, No. 129

---

Material: BaHClO
Method: DFT, SCAN
State: PBEsol geometry

a b c (Å): 4.7890 7.3413 8.0028
angles (deg): 90.00 90.00 90.00
With the nearest neighbours (Å) after each atom.
Fractional positions:
O 0.7500 0.1686 0.9251  1 H 0.99
O 0.2500 0.8314 0.0749  1 H 0.99
O 0.2500 0.3314 0.4251  1 H 0.99
O 0.7500 0.6686 0.5749  1 H 0.99
Cl 0.7500 0.5014 0.1717  1 H 2.21
Cl 0.7500 0.0014 0.3283  1 H 2.21
Cl 0.2500 0.4986 0.8283  1 H 2.21
Cl 0.2500 0.9986 0.6717  1 H 2.21
H 0.7500 0.2927 0.9723  1 O 0.99
H 0.7500 0.7927 0.5277  1 O 0.99
H 0.2500 0.2073 0.4723  1 O 0.99
H 0.2500 0.7073 0.0277  1 O 0.99
Ba 0.2500 0.1867 0.1066  4 O 2.62-2.80, 3 H 2.74-2.93
Ba 0.7500 0.3133 0.6066  4 O 2.62-2.80, 3 H 2.74-2.93
Ba 0.7500 0.8133 0.8934  4 O 2.62-2.80, 3 H 2.74-2.93
Ba 0.2500 0.6867 0.3934  4 O 2.62-2.80, 3 H 2.74-2.93

## Properties
VASP energy   -16.602 eV per atom
Space-group type   Pnma, No. 62